[1]
SrLiPrBi PBE-GGA relaxed; E_tot = -3.43 eV/atom; space-group type = F-43m, No. 216
1.0
5.6274 0.0000 0.0000
2.8137 4.8735 0.0000
2.8137 1.6245 4.5947
Sr Pr Bi Li
1 1 1 1
Direct
0.0000 0.0000 0.0000
0.5000 0.5000 0.5000
0.2500 0.2500 0.2500
0.7500 0.7500 0.7500

***

[2]
NbAlZn2O PBE-GGA relaxed; E_tot = -2.82 eV/atom; space-group type = P4/mmm, No. 123; uncorrected formation energy = 1441.6 meV/atom
1.0
-4.9763 0.4912 -1.0236
-1.1069 -3.3208 3.7878
-0.2983 3.8744 3.3095
Zn Nb Al O
2 1 1 1
Direct
0.0000 0.0000 0.5000
0.5000 0.0000 0.0000
0.0000 0.0000 0.0000
0.0000 0.5000 0.0000
0.5000 0.5000 0.5000

***

[3]
MnCr2In2S6 PBE-GGA relaxed; E_tot = -5.89 eV/atom; space-group type = C2/m, No. 12; uncorrected formation energy = -556.0 meV/atom
1.0
6.1457 -0.0351 -0.0460
-3.0681 5.3253 -0.0460
-1.0145 -1.7439 6.9210
Mn S In Cr
1 6 2 2
Direct
0.0000 0.0000 0.5000
0.2658 0.2658 0.3172
0.9356 0.5971 0.3086
0.5971 0.9356 0.3086
0.7342 0.7342 0.6828
0.0644 0.4029 0.6914
0.4029 0.0644 0.6914
0.8308 0.1692 0.0000
0.1692 0.8308 0.0000
0.6693 0.3307 0.5000
0.3307 0.6693 0.5000

***

[4]
CsLiBiIr2 PBE-GGA relaxed; E_tot = -3.97 eV/atom; space-group type = P4/mmm, No. 123
1.0
-4.3395 -2.1294 -1.8253
1.4925 -4.8736 2.1373
-2.4330 1.1852 4.4015
Ir Li Cs Bi
2 1 1 1
Direct
0.0000 0.0000 0.5000
0.5000 0.0000 0.0000
0.0000 0.5000 0.0000
0.5000 0.5000 0.5000
0.0000 0.0000 0.0000

***

[5]
LiCo2Te PBE-GGA relaxed; E_tot = -4.70 eV/atom; space-group type = F-43m, No. 216; uncorrected formation energy = 118.0 meV/atom
1.0
-3.4153 2.5164 -0.5154
-3.9167 -1.7067 -0.0956
-2.6911 0.6433 3.2567
Co Li Te
2 1 1
Direct
0.0000 0.0000 0.0000
0.2500 0.2500 0.2500
0.5000 0.5000 0.5000
0.7500 0.7500 0.7500

***

[6]
Dy3HCSe PBE-GGA relaxed; E_tot = -5.90 eV/atom; space-group type = P2_1/m, No. 11
1.0
3.7020 0.0000 0.0000
0.0000 7.8615 0.1254
0.0000 -1.9457 7.8270
Se Dy H C
2 6 2 2
Direct
0.2500 0.1735 0.2258
0.7500 0.8265 0.7742
0.2500 0.5499 0.8396
0.7500 0.2286 0.5324
0.2500 0.1307 0.8603
0.2500 0.7714 0.4676
0.7500 0.4501 0.1604
0.7500 0.8693 0.1397
0.2500 0.0781 0.5788
0.7500 0.9219 0.4212
0.2500 0.6673 0.1584
0.7500 0.3327 0.8416